Pm2SnRh: relaxed, PBE.

```
data_Pm2SnRh
_chemical_formula_sum 'Pm6 Sn3 Rh3'
_cell_length_a 3.4612
_cell_length_b 3.4612
_cell_length_c 31.0390
_cell_angle_alpha 90.00
_cell_angle_beta 90.00
_cell_angle_gamma 120.00
_space_group_name_H-M_alt 'R -3 m'
_space_group_IT_number 166
_space_group_name_Hall '-R 3 2"'
loop_
_atom_site_label
_atom_site_fract_x
_atom_site_fract_y
_atom_site_fract_z
_atom_site_occupancy
Pm1 0.0000 0.0000 0.0822 1
Sn1 0.0000 0.0000 0.5000 1
Rh1 0.0000 0.0000 0.0000 1
```

Results
total moment: 0.0 μB per cell
energy relative to the elements: -0.007 eV/atom